First-principles (PBE-GGA) data for Tb2Nd2Er2In after structural relaxation, as listed in Alexandria via LeMat-Bulk.

Values from the calculation:
DFT total energy ... -31.39 eV for the cell shown

The structure in CIF format:
```
data_Tb2Nd2Er2In
_chemical_formula_sum 'Tb2 Nd2 Er2 In1'
_cell_length_a 3.5922
_cell_length_b 4.8606
_cell_length_c 12.7241
_cell_angle_alpha 100.94
_cell_angle_beta 98.01
_cell_angle_gamma 90.01
_symmetry_space_group_name_H-M 'P -1'
_symmetry_Int_Tables_number 2
_symmetry_space_group_name_Hall '-P 1'
loop_
_atom_site_label
_atom_site_fract_x
_atom_site_fract_y
_atom_site_fract_z
_atom_site_occupancy
Tb1 0.0680 0.0656 0.1312 1
Nd1 0.2112 0.2101 0.4199 1
Er1 0.3595 0.3610 0.7219 1
In1 0.5000 0.5000 0.0000 1
```

First-principles (PBE-GGA) data for TbNd2Er5In after structural relaxation, as listed in Alexandria via LeMat-Bulk.

Values from the calculation:
DFT total energy ... -159.29 eV for the cell shown

The structure in CIF format:
```
data_TbNd2Er5In
_chemical_formula_sum 'Tb4 Nd8 Er20 In4'
_cell_length_a 5.3524
_cell_length_b 20.1727
_cell_length_c 10.4831
_cell_angle_alpha 90.00
_cell_angle_beta 90.00
_cell_angle_gamma 90.00
_symmetry_space_group_name_H-M 'C m c m'
_symmetry_Int_Tables_number 63
_symmetry_space_group_name_Hall '-C 2c 2'
loop_
_atom_site_label
_atom_site_fract_x
_atom_site_fract_y
_atom_site_fract_z
_atom_site_occupancy
Tb1 0.0000 0.2083 0.2500 1
Nd1 0.0000 0.1166 0.5402 1
Er1 0.0000 0.0109 0.2500 1
Er2 0.0000 0.2891 0.5522 1
Er3 0.0000 0.3847 0.2500 1
Er4 0.0000 0.5000 0.0000 1
In1 0.0000 0.4047 0.7500 1
```

First-principles (PBE-GGA) data for Tb3Nd6Er2In after structural relaxation, as listed in Alexandria via LeMat-Bulk.

Values from the calculation:
DFT total energy ... -109.47 eV for the cell shown

The structure in CIF format:
```
data_Tb3Nd6Er2In
_chemical_formula_sum 'Tb6 Nd12 Er4 In2'
_cell_length_a 6.2096
_cell_length_b 10.7864
_cell_length_c 11.8011
_cell_angle_alpha 90.00
_cell_angle_beta 100.27
_cell_angle_gamma 90.00
_symmetry_space_group_name_H-M 'C 1 2/m 1'
_symmetry_Int_Tables_number 12
_symmetry_space_group_name_Hall '-C 2y'
loop_
_atom_site_label
_atom_site_fract_x
_atom_site_fract_y
_atom_site_fract_z
_atom_site_occupancy
Tb1 0.0000 0.0000 0.0000 1
Tb2 0.0000 0.3320 0.0000 1
Nd1 0.2451 0.3362 0.7460 1
Nd2 0.2456 0.5000 0.2523 1
Er1 0.0000 0.1663 0.5000 1
In1 0.0000 0.5000 0.5000 1
```

First-principles (PBE-GGA) data for Tb6Nd2Er3In after structural relaxation, as listed in Alexandria via LeMat-Bulk.

Values from the calculation:
DFT total energy ... -108.80 eV for the cell shown

The structure in CIF format:
```
data_Tb6Nd2Er3In
_chemical_formula_sum 'Tb12 Nd4 Er6 In2'
_cell_length_a 6.1009
_cell_length_b 10.5750
_cell_length_c 11.7289
_cell_angle_alpha 90.00
_cell_angle_beta 100.01
_cell_angle_gamma 90.00
_symmetry_space_group_name_H-M 'C 1 2/m 1'
_symmetry_Int_Tables_number 12
_symmetry_space_group_name_Hall '-C 2y'
loop_
_atom_site_label
_atom_site_fract_x
_atom_site_fract_y
_atom_site_fract_z
_atom_site_occupancy
Tb1 0.2431 0.0000 0.2479 1
Tb2 0.2471 0.1635 0.7512 1
Nd1 0.0000 0.3337 0.5000 1
Er1 0.0000 0.1667 0.0000 1
Er2 0.0000 0.5000 0.0000 1
In1 0.0000 0.0000 0.5000 1
```

First-principles (PBE-GGA) data for Tb3Nd2Er6In after structural relaxation, as listed in Alexandria via LeMat-Bulk.

Values from the calculation:
DFT total energy ... -108.44 eV for the cell shown

The structure in CIF format:
```
data_Tb3Nd2Er6In
_chemical_formula_sum 'Tb6 Nd4 Er12 In2'
_cell_length_a 6.0733
_cell_length_b 10.5253
_cell_length_c 11.6811
_cell_angle_alpha 90.00
_cell_angle_beta 100.03
_cell_angle_gamma 90.00
_symmetry_space_group_name_H-M 'C 1 2/m 1'
_symmetry_Int_Tables_number 12
_symmetry_space_group_name_Hall '-C 2y'
loop_
_atom_site_label
_atom_site_fract_x
_atom_site_fract_y
_atom_site_fract_z
_atom_site_occupancy
Tb1 0.0000 0.0000 0.0000 1
Tb2 0.0000 0.3332 0.0000 1
Nd1 0.0000 0.1661 0.5000 1
Er1 0.2449 0.5000 0.2499 1
Er2 0.2460 0.3362 0.7491 1
In1 0.0000 0.5000 0.5000 1
```

First-principles (PBE-GGA) data for NdEr2In3Te6 after structural relaxation, as listed in Alexandria via LeMat-Bulk.

Values from the calculation:
DFT total energy ... -105.07 eV for the cell shown
Energy relative to the elements, uncorrected ... -11.6 eV per formula unit

The structure in CIF format:
```
data_NdEr2In3Te6
_chemical_formula_sum 'Nd2 Er4 In6 Te12'
_cell_length_a 7.6825
_cell_length_b 13.3014
_cell_length_c 8.5056
_cell_angle_alpha 90.00
_cell_angle_beta 107.52
_cell_angle_gamma 90.00
_symmetry_space_group_name_H-M 'C 1 2/m 1'
_symmetry_Int_Tables_number 12
_symmetry_space_group_name_Hall '-C 2y'
loop_
_atom_site_label
_atom_site_fract_x
_atom_site_fract_y
_atom_site_fract_z
_atom_site_occupancy
Nd1 0.0000 0.0000 0.0000 1
Er1 0.0000 0.3329 0.0000 1
In1 0.0000 0.1638 0.5000 1
In2 0.0000 0.5000 0.5000 1
Te1 0.2294 0.5000 0.2178 1
Te2 0.2452 0.1714 0.2208 1
```

First-principles (PBE-GGA) data for Nd2ErIn3Te6 after structural relaxation, as listed in Alexandria via LeMat-Bulk.

Values from the calculation:
DFT total energy ... -105.78 eV for the cell shown
Energy relative to the elements, uncorrected ... -11.7 eV per formula unit

The structure in CIF format:
```
data_Nd2ErIn3Te6
_chemical_formula_sum 'Nd4 Er2 In6 Te12'
_cell_length_a 7.7622
_cell_length_b 13.4405
_cell_length_c 8.5131
_cell_angle_alpha 90.00
_cell_angle_beta 107.70
_cell_angle_gamma 90.00
_symmetry_space_group_name_H-M 'C 1 2/m 1'
_symmetry_Int_Tables_number 12
_symmetry_space_group_name_Hall '-C 2y'
loop_
_atom_site_label
_atom_site_fract_x
_atom_site_fract_y
_atom_site_fract_z
_atom_site_occupancy
Nd1 0.0000 0.1662 0.0000 1
Er1 0.0000 0.5000 0.0000 1
In1 0.0000 0.0000 0.5000 1
In2 0.0000 0.3306 0.5000 1
Te1 0.2360 0.3380 0.2224 1
Te2 0.2485 0.5000 0.7746 1
```

First-principles (PBE-GGA) data for NdErTiIn after structural relaxation, as listed in Alexandria via LeMat-Bulk.

Values from the calculation:
DFT total energy ... -80.89 eV for the cell shown

The structure in CIF format:
```
data_NdErTiIn
_chemical_formula_sum 'Nd4 Er4 Ti4 In4'
_cell_length_a 7.5085
_cell_length_b 7.5085
_cell_length_c 7.5085
_cell_angle_alpha 90.00
_cell_angle_beta 90.00
_cell_angle_gamma 90.00
_symmetry_space_group_name_H-M 'F -4 3 m'
_symmetry_Int_Tables_number 216
_symmetry_space_group_name_Hall 'F -4 2 3'
loop_
_atom_site_label
_atom_site_fract_x
_atom_site_fract_y
_atom_site_fract_z
_atom_site_occupancy
Nd1 0.0000 0.0000 0.0000 1
Er1 0.0000 0.0000 0.5000 1
Ti1 0.2500 0.2500 0.2500 1
In1 0.2500 0.2500 0.7500 1
```